Density functional theory data (GGA-PBE) for an optimized crystal structure of Pr2HoH4.

abc: 4.0565 4.0565 13.4904
angles: 90.00 90.00 90.00
Space group I4/mmm (No. 139)
Unique sites:
Pr (0.0000, 0.0000, 0.1640)
Ho (0.0000, 0.0000, 0.5000)
H (0.0000, 0.0000, 0.3375)
H (0.0000, 0.5000, 0.0000)

Results
- Energy: -4.2182 eV/atom
- Magnetic moment: 0.000 μB/f.u.

Density functional theory data (GGA-PBE) for an optimized crystal structure of PrHoH2.

abc: 3.5566 3.5566 18.1462
angles: 90.00 90.00 120.00
Space group R3m (No. 160, hexagonal axes)
Unique sites:
Pr (0.0000, 0.0000, 0.0000)
Ho (0.0000, 0.0000, 0.1785)
H (0.0000, 0.0000, 0.5786)
H (0.0000, 0.0000, 0.7813)

Results
- Energy above the lowest structure with this stoichiometry: 86 meV per atom
- Magnetic moment: 0.000 μB/f.u.

Density functional theory data (GGA-PBE) for an optimized crystal structure of Pr3Ho5H12.

abc: 13.3057 13.3057 13.3057
angles: 90.00 90.00 90.00
Space group Ia-3d (No. 230)
Unique sites:
Pr (0.0000, 0.2500, 0.1250)
Ho (0.0000, 0.0000, 0.0000)
Ho (0.0000, 0.2500, 0.3750)
H (0.0094, 0.0660, 0.6521)

Results
- Energy: -4.3248 eV/atom
- Magnetic moment: 0.003 μB/f.u.

Density functional theory data (GGA-PBE) for an optimized crystal structure of PrHoH8Rh2.

abc: 4.9160 4.9160 17.8234
angles: 90.00 90.00 120.00
Space group R-3 (No. 148, hexagonal axes)
Unique sites:
Pr (0.0000, 0.0000, 0.0000)
Ho (0.0000, 0.0000, 0.5000)
H (0.0000, 0.0000, 0.3199)
H (0.0443, 0.2873, 0.8928)
Rh (0.0000, 0.0000, 0.2296)

Results
- Energy: -4.5470 eV/atom
- Magnetic moment: 0.000 μB/f.u.

Density functional theory data (GGA-PBE) for an optimized crystal structure of Pr2HoH12Rh3.

abc: 6.6068 6.6068 14.2997
angles: 90.00 90.00 120.00
Space group R-3m (No. 166, hexagonal axes)
Unique sites:
Pr (0.0000, 0.0000, 0.1156)
Ho (0.0000, 0.0000, 0.5000)
H (0.0286, 0.5143, 0.8819)
H (0.0592, 0.5296, 0.3193)
Rh (0.0000, 0.5000, 0.0000)

Results
- Energy: -4.6327 eV/atom
- Magnetic moment: 0.969 μB/f.u.

Density functional theory data (GGA-PBE) for an optimized crystal structure of Pr4Ho2Tl3H2.

abc: 4.8474 4.8474 25.4428
angles: 90.00 90.00 90.00
Space group I4/mmm (No. 139)
Unique sites:
Pr (0.0000, 0.5000, 0.0877)
Ho (0.0000, 0.0000, 0.2009)
Tl (0.0000, 0.0000, 0.3220)
Tl (0.0000, 0.0000, 0.5000)
H (0.0000, 0.0000, 0.1103)

Results
- Energy: -4.0728 eV/atom
- Magnetic moment: 0.000 μB/f.u.